No. 1
A relaxed CaBeP crystal, computed with GGA-PBEsol.

a = 4.4593 Å, b = 4.4593 Å, c = 4.4593 Å
α = 60.00°, β = 60.00°, γ = 60.00°
Closest atoms and distances in Å follow each position.
Element x y z (fractional)
1 Ca 0.0000 0.0000 0.0000  4 Be 2.73, 4 P 2.73
2 Be 0.2500 0.2500 0.2500  4 Ca 2.73
3 P 0.7500 0.7500 0.7500  4 Ca 2.73

Properties
Formation energy: 0.382 eV/atom
Total DFT energy (no corrections): -3.59 eV/atom
N(E_F): 1.4 states/eV/cell
Crystal system: cubic
Symmetry: F-43m, No. 216

=====

No. 2
A relaxed Ca2BeTlP crystal, computed with GGA-PBEsol.

a = 5.6453 Å, b = 5.6453 Å, c = 3.7690 Å
α = 90.00°, β = 90.00°, γ = 90.00°
Closest atoms and distances in Å follow each position.
Element x y z (fractional)
1 Ca 0.0000 0.5000 0.0000  2 Be 2.82
2 Ca 0.5000 0.0000 0.0000  2 Be 2.82
3 Be 0.0000 0.0000 0.0000  2 P 1.88
4 Tl 0.5000 0.5000 0.5000  8 Ca 3.39, 2 Tl 3.77
5 P 0.0000 0.0000 0.5000  2 Be 1.88

Properties
Formation energy: -0.142 eV/atom
Total DFT energy (no corrections): -3.48 eV/atom
N(E_F): 4.8 states/eV/cell
Crystal system: tetragonal
Symmetry: P4/mmm, No. 123

=====

No. 3
A relaxed CaBePb2 crystal, computed with GGA-PBEsol.

a = 6.0363 Å, b = 6.0363 Å, c = 3.3883 Å
α = 103.71°, β = 103.71°, γ = 113.88°
Closest atoms and distances in Å follow each position.
Element x y z (fractional)
1 Ca 0.0000 0.0000 0.0000  4 Pb 3.09, 2 Be 3.29, 2 Ca 3.39
2 Be 0.5000 0.5000 0.0000  4 Pb 3.09, 2 Ca 3.29, 2 Be 3.39
3 Pb 0.0000 0.5000 0.5000  2 Be 3.09, 2 Ca 3.09, 4 Pb 3.29-3.39
4 Pb 0.5000 0.0000 0.5000  2 Be 3.09, 2 Ca 3.09, 4 Pb 3.29-3.39

Properties
Formation energy: 0.265 eV/atom
Total DFT energy (no corrections): -3.27 eV/atom
N(E_F): 2.0 states/eV/cell
Crystal system: monoclinic
Symmetry: C2/m, No. 12

=====

No. 4
A relaxed Ca2BePb crystal, computed with GGA-PBEsol.

a = 3.5273 Å, b = 3.5273 Å, c = 8.6660 Å
α = 90.00°, β = 90.00°, γ = 90.00°
Closest atoms and distances in Å follow each position.
Element x y z (fractional)
1 Ca 0.0000 0.0000 0.0000  4 Be 3.13, 1 Pb 3.23
2 Ca 0.5000 0.5000 0.3638  4 Pb 3.38, 4 Ca 3.53, 1 Be 3.62
3 Be 0.5000 0.5000 0.7814  4 Pb 2.83, 4 Ca 3.13
4 Pb 0.0000 0.0000 0.6278  4 Be 2.83

Properties
Formation energy: 0.102 eV/atom
Total DFT energy (no corrections): -2.96 eV/atom
N(E_F): 2.7 states/eV/cell
Crystal system: tetragonal
Symmetry: P4mm, No. 99